Density functional theory data (GGA-PBE) for Co2NiHN after structural relaxation.

a b c (Å): 3.6277 3.2895 3.6277
angles (deg): 90.00 90.00 90.00
With the nearest neighbours (Å) after each atom.
Fractional positions:
1 Ni 0.0000 0.5000 0.0000  2 H 1.64
2 Co 0.0000 0.0000 0.5000  2 H 1.81
3 Co 0.5000 0.0000 0.0000  2 H 1.81
4 H 0.0000 0.0000 0.0000  2 Ni 1.64, 4 Co 1.81
5 N 0.5000 0.5000 0.5000  8 Co 2.45, 4 Ni 2.57

Properties
As for the space-group type: No. 123. Its volume is 8.658 Å³/atom. The calculated total energy is -27.58 eV/cell. Its density of states at the Fermi level is 1.12 states/eV per atom. The value obtained for the density is 7.3 Mg/m³.